# AcErOsPd | Alexandria | PBE-GGA | optimized geometry
data_AcErOsPd
_chemical_formula_sum 'Ac4 Er4 Os4 Pd4'
_cell_length_a 7.163
_cell_length_b 7.163
_cell_length_c 7.163
_cell_angle_alpha 90.00
_cell_angle_beta 90.00
_cell_angle_gamma 90.00
_space_group_name_H-M_alt 'F -4 3 m'
_space_group_IT_number 216
_space_group_name_Hall 'F -4 2 3'
loop_
_atom_site_label
_atom_site_type_symbol
_atom_site_fract_x
_atom_site_fract_y
_atom_site_fract_z
Ac1 Ac 0.000 0.000 0.000
Er1 Er 0.000 0.000 0.500
Os1 Os 0.250 0.250 0.750
Pd1 Pd 0.250 0.250 0.250
# Theoretical density ... 12.5 Mg/m³
# Calculated volume ... 23.0 A^3/atom
# Uncorrected energy ... -0.24245 Ha/atom
# Magnetic moment ... 0.0 Bohr magnetons per cell

# AcErZnOs | Alexandria | PBE-GGA | optimized geometry
data_AcErZnOs
_chemical_formula_sum 'Ac4 Er4 Zn4 Os4'
_cell_length_a 7.233
_cell_length_b 7.233
_cell_length_c 7.233
_cell_angle_alpha 90.00
_cell_angle_beta 90.00
_cell_angle_gamma 90.00
_space_group_name_H-M_alt 'F -4 3 m'
_space_group_IT_number 216
_space_group_name_Hall 'F -4 2 3'
loop_
_atom_site_label
_atom_site_type_symbol
_atom_site_fract_x
_atom_site_fract_y
_atom_site_fract_z
Ac1 Ac 0.000 0.000 0.000
Er1 Er 0.000 0.000 0.500
Zn1 Zn 0.250 0.250 0.250
Os1 Os 0.250 0.250 0.750
# Theoretical density ... 11.4 Mg/m³
# Calculated volume ... 23.7 A^3/atom
# Uncorrected energy ... -0.19654 Ha/atom
# Magnetic moment ... 0.0 Bohr magnetons per cell

# AcErP2 | Alexandria | PBE-GGA | optimized geometry
data_AcErP2
_chemical_formula_sum 'Ac3 Er3 P6'
_cell_length_a 4.1297
_cell_length_b 4.1297
_cell_length_c 21.5128
_cell_angle_alpha 90.00
_cell_angle_beta 90.00
_cell_angle_gamma 120.00
_space_group_name_H-M_alt 'R 3 m'
_space_group_IT_number 160
_space_group_name_Hall 'R 3 -2"'
loop_
_atom_site_label
_atom_site_type_symbol
_atom_site_fract_x
_atom_site_fract_y
_atom_site_fract_z
Ac1 Ac 0.0000 0.0000 0.0000
Er1 Er 0.0000 0.0000 0.8290
P1 P 0.0000 0.0000 0.2383
P2 P 0.0000 0.0000 0.4225
# Theoretical density ... 7.2 Mg/m³
# Calculated volume ... 26.5 A^3/atom
# Distance to the lowest polymorph of the same formula ... 117 meV per atom
# Uncorrected energy ... -0.22939 Ha/atom
# Magnetic moment ... 0.0 Bohr magnetons per cell

# AcErP2 | Alexandria | PBE-GGA | optimized geometry
data_AcErP2
_chemical_formula_sum 'Ac3 Er3 P6'
_cell_length_a 4.2093
_cell_length_b 4.2093
_cell_length_c 20.6410
_cell_angle_alpha 90.00
_cell_angle_beta 90.00
_cell_angle_gamma 120.00
_space_group_name_H-M_alt 'R -3 m'
_space_group_IT_number 166
_space_group_name_Hall '-R 3 2"'
loop_
_atom_site_label
_atom_site_type_symbol
_atom_site_fract_x
_atom_site_fract_y
_atom_site_fract_z
Ac1 Ac 0.0000 0.0000 0.0000
Er1 Er 0.0000 0.0000 0.5000
P1 P 0.0000 0.0000 0.2414
# Theoretical density ... 7.2 Mg/m³
# Calculated volume ... 26.4 A^3/atom
# Distance to the lowest polymorph of the same formula ... 0 meV per atom
# Uncorrected energy ... -0.23367 Ha/atom
# Magnetic moment ... 0.0 Bohr magnetons per cell

# AcErP2 | Alexandria | PBE-GGA | optimized geometry
data_AcErP2
_chemical_formula_sum 'Ac1 Er1 P2'
_cell_length_a 5.126
_cell_length_b 5.126
_cell_length_c 3.625
_cell_angle_alpha 90.00
_cell_angle_beta 90.00
_cell_angle_gamma 90.00
_space_group_name_H-M_alt 'P 4/m m m'
_space_group_IT_number 123
_space_group_name_Hall '-P 4 2'
loop_
_atom_site_label
_atom_site_type_symbol
_atom_site_fract_x
_atom_site_fract_y
_atom_site_fract_z
Ac1 Ac 0.000 0.000 0.000
Er1 Er 0.500 0.500 0.000
P1 P 0.000 0.500 0.500
# Theoretical density ... 8.0 Mg/m³
# Calculated volume ... 23.8 A^3/atom
# Distance to the lowest polymorph of the same formula ... 511 meV per atom
# Uncorrected energy ... -0.21491 Ha/atom
# Magnetic moment ... 0.0 Bohr magnetons per cell

# AcErP2 | Alexandria | PBE-GGA | optimized geometry
data_AcErP2
_chemical_formula_sum 'Ac4 Er4 P8'
_cell_length_a 7.220
_cell_length_b 7.220
_cell_length_c 7.220
_cell_angle_alpha 90.00
_cell_angle_beta 90.00
_cell_angle_gamma 90.00
_space_group_name_H-M_alt 'F m -3 m'
_space_group_IT_number 225
_space_group_name_Hall '-F 4 2 3'
loop_
_atom_site_label
_atom_site_type_symbol
_atom_site_fract_x
_atom_site_fract_y
_atom_site_fract_z
Ac1 Ac 0.000 0.000 0.000
Er1 Er 0.000 0.000 0.500
P1 P 0.250 0.250 0.250
# Theoretical density ... 8.0 Mg/m³
# Calculated volume ... 23.5 A^3/atom
# Distance to the lowest polymorph of the same formula ... 458 meV per atom
# Uncorrected energy ... -0.21685 Ha/atom
# Magnetic moment ... 0.0 Bohr magnetons per cell

# AcErP2Pd2 | Alexandria | PBE-GGA | optimized geometry
data_AcErP2Pd2
_chemical_formula_sum 'Ac1 Er1 P2 Pd2'
_cell_length_a 4.2704
_cell_length_b 4.2704
_cell_length_c 7.8148
_cell_angle_alpha 90.00
_cell_angle_beta 90.00
_cell_angle_gamma 120.00
_space_group_name_H-M_alt 'P -3 m 1'
_space_group_IT_number 164
_space_group_name_Hall '-P 3 2"'
loop_
_atom_site_label
_atom_site_type_symbol
_atom_site_fract_x
_atom_site_fract_y
_atom_site_fract_z
Ac1 Ac 0.0000 0.0000 0.0000
Er1 Er 0.0000 0.0000 0.5000
P1 P 0.3333 0.6667 0.2716
Pd1 Pd 0.3333 0.6667 0.7228
# Theoretical density ... 9.0 Mg/m³
# Calculated volume ... 20.6 A^3/atom
# Uncorrected energy ... -0.22821 Ha/atom
# Magnetic moment ... 0.0 Bohr magnetons per cell

# AcPm2ErP4 | Alexandria | PBE-GGA | optimized geometry
data_AcPm2ErP4
_chemical_formula_sum 'Ac1 Pm2 Er1 P4'
_cell_length_a 7.234
_cell_length_b 4.179
_cell_length_c 7.237
_cell_angle_alpha 90.00
_cell_angle_beta 109.34
_cell_angle_gamma 90.00
_space_group_name_H-M_alt 'P 1 2/m 1'
_space_group_IT_number 10
_space_group_name_Hall '-P 2y'
loop_
_atom_site_label
_atom_site_type_symbol
_atom_site_fract_x
_atom_site_fract_y
_atom_site_fract_z
Ac1 Ac 0.000 0.000 0.000
Pm1 Pm 0.000 0.500 0.500
Pm2 Pm 0.500 0.000 0.500
Er1 Er 0.500 0.500 0.000
P1 P 0.262 0.000 0.751
P2 P 0.264 0.500 0.258
# Theoretical density ... 6.5 Mg/m³
# Calculated volume ... 25.8 A^3/atom
# Uncorrected energy ... -0.23786 Ha/atom
# Magnetic moment ... 0.0 Bohr magnetons per cell

# AcPrEr2P4 | Alexandria | PBE-GGA | optimized geometry
data_AcPrEr2P4
_chemical_formula_sum 'Ac1 Pr1 Er2 P4'
_cell_length_a 7.187
_cell_length_b 4.151
_cell_length_c 7.193
_cell_angle_alpha 90.00
_cell_angle_beta 109.43
_cell_angle_gamma 90.00
_space_group_name_H-M_alt 'P 1 2/m 1'
_space_group_IT_number 10
_space_group_name_Hall '-P 2y'
loop_
_atom_site_label
_atom_site_type_symbol
_atom_site_fract_x
_atom_site_fract_y
_atom_site_fract_z
Ac1 Ac 0.000 0.000 0.000
Pr1 Pr 0.000 0.500 0.500
Er1 Er 0.500 0.000 0.500
Er2 Er 0.500 0.500 0.000
P1 P 0.268 0.000 0.751
P2 P 0.272 0.500 0.263
# Theoretical density ... 6.8 Mg/m³
# Calculated volume ... 25.3 A^3/atom
# Uncorrected energy ... -0.23753 Ha/atom
# Magnetic moment ... 0.0 Bohr magnetons per cell

# Ac2ErP3Rh4 | Alexandria | PBE-GGA | optimized geometry
data_Ac2ErP3Rh4
_chemical_formula_sum 'Ac2 Er1 P3 Rh4'
_cell_length_a 4.137
_cell_length_b 4.137
_cell_length_c 11.308
_cell_angle_alpha 90.00
_cell_angle_beta 90.00
_cell_angle_gamma 90.00
_space_group_name_H-M_alt 'P -4 m 2'
_space_group_IT_number 115
_space_group_name_Hall 'P -4 -2'
loop_
_atom_site_label
_atom_site_type_symbol
_atom_site_fract_x
_atom_site_fract_y
_atom_site_fract_z
Ac1 Ac 0.000 0.500 0.231
Er1 Er 0.000 0.000 0.500
P1 P 0.000 0.500 0.880
P2 P 0.500 0.500 0.500
Rh1 Rh 0.000 0.000 0.000
Rh2 Rh 0.000 0.500 0.665
Rh3 Rh 0.500 0.500 0.000
# Theoretical density ... 9.7 Mg/m³
# Calculated volume ... 19.4 A^3/atom
# Uncorrected energy ... -0.25196 Ha/atom
# Magnetic moment ... 0.0 Bohr magnetons per cell

# Ac2ErP3Rh12 | Alexandria | PBE-GGA | optimized geometry
data_Ac2ErP3Rh12
_chemical_formula_sum 'Ac6 Er3 P9 Rh36'
_cell_length_a 8.6038
_cell_length_b 8.6038
_cell_length_c 15.6553
_cell_angle_alpha 90.00
_cell_angle_beta 90.00
_cell_angle_gamma 120.00
_space_group_name_H-M_alt 'R -3 m'
_space_group_IT_number 166
_space_group_name_Hall '-R 3 2"'
loop_
_atom_site_label
_atom_site_type_symbol
_atom_site_fract_x
_atom_site_fract_y
_atom_site_fract_z
Ac1 Ac 0.0000 0.0000 0.1076
Er1 Er 0.0000 0.0000 0.5000
P1 P 0.0000 0.5000 0.0000
Rh1 Rh 0.0147 0.5073 0.8602
Rh2 Rh 0.0579 0.5290 0.3511
# Theoretical density ... 9.7 Mg/m³
# Calculated volume ... 18.6 A^3/atom
# Uncorrected energy ... -0.25082 Ha/atom
# Magnetic moment ... 0.0 Bohr magnetons per cell

# AcErP2Rh2 | Alexandria | PBE-GGA | optimized geometry
data_AcErP2Rh2
_chemical_formula_sum 'Ac1 Er1 P2 Rh2'
_cell_length_a 4.1088
_cell_length_b 4.1088
_cell_length_c 8.2641
_cell_angle_alpha 90.00
_cell_angle_beta 90.00
_cell_angle_gamma 120.00
_space_group_name_H-M_alt 'P -3 m 1'
_space_group_IT_number 164
_space_group_name_Hall '-P 3 2"'
loop_
_atom_site_label
_atom_site_type_symbol
_atom_site_fract_x
_atom_site_fract_y
_atom_site_fract_z
Ac1 Ac 0.0000 0.0000 0.0000
Er1 Er 0.0000 0.0000 0.5000
P1 P 0.3333 0.6667 0.2795
Rh1 Rh 0.3333 0.6667 0.7361
# Theoretical density ... 9.1 Mg/m³
# Calculated volume ... 20.1 A^3/atom
# Uncorrected energy ... -0.25310 Ha/atom
# Magnetic moment ... 0.0 Bohr magnetons per cell